{
  "formula": "BePtAu",
  "functional": "PBE",
  "state": "relaxed",
  "total_magnetization_mub_per_cell": 0.01,
  "dft_energy_ev_per_atom": -4.711,
  "de_polymorph_mev_per_atom": 40,
  "lattice_angstrom": [[2.856, 0.000, 0.000], [0.000, 2.856, 0.000], [0.000, 0.000, 10.096]],
  "species": ["Be", "Be", "Pt", "Pt", "Au", "Au"],
  "frac_coords": [[0.000, 0.000, 0.000], [0.500, 0.500, 0.500], [0.000, 0.000, 0.362], [0.000, 0.000, 0.638], [0.500, 0.500, 0.146], [0.500, 0.500, 0.854]]
}